#w
First-principles (PBE) data for an optimized crystal structure of TlPtCl2, as listed in the Alexandria database.

```
data_TlPtCl2
_space_group_name_H-M_alt 'P 1'
_space_group_IT_number 1
_cell_length_a 4.911
_cell_length_b 4.911
_cell_length_c 4.911
_cell_angle_alpha 60.00
_cell_angle_beta 60.00
_cell_angle_gamma 60.00
loop_
_space_group_symop_operation_xyz
'x,y,z'
loop_
_atom_site_label
_atom_site_fract_x
_atom_site_fract_y
_atom_site_fract_z
Tl1 0.750 0.750 0.750
Pt1 0.500 0.500 0.500
Cl1 0.000 0.000 0.000
Cl2 0.250 0.250 0.250
```

#x
First-principles (PBE) data for an optimized crystal structure of TlPtCl2, as listed in the Alexandria database.

```
data_TlPtCl2
_space_group_name_H-M_alt 'P 1'
_space_group_IT_number 1
_cell_length_a 3.960
_cell_length_b 3.960
_cell_length_c 8.678
_cell_angle_alpha 90.00
_cell_angle_beta 90.00
_cell_angle_gamma 123.90
loop_
_space_group_symop_operation_xyz
'x,y,z'
loop_
_atom_site_label
_atom_site_fract_x
_atom_site_fract_y
_atom_site_fract_z
Tl1 0.500 0.500 0.726
Pt1 0.000 0.000 0.501
Cl1 0.000 0.000 0.949
Cl2 0.500 0.500 0.323
```

#y
First-principles (PBE) data for an optimized crystal structure of TlPtCl2, as listed in the Alexandria database.

```
data_TlPtCl2
_space_group_name_H-M_alt 'P 1'
_space_group_IT_number 1
_cell_length_a 8.330
_cell_length_b 8.330
_cell_length_c 3.717
_cell_angle_alpha 77.20
_cell_angle_beta 77.20
_cell_angle_gamma 23.80
loop_
_space_group_symop_operation_xyz
'x,y,z'
loop_
_atom_site_label
_atom_site_fract_x
_atom_site_fract_y
_atom_site_fract_z
Tl1 0.807 0.807 0.691
Pt1 0.483 0.483 0.519
Cl1 0.002 0.002 0.000
Cl2 0.208 0.208 0.290
```

The most stable arrangement is #y, and the next structure is 30 meV/atom less stable.

#w
First-principles (PBE) data for an optimized crystal structure of TlPtCl2, as listed in the Alexandria database.

```
data_TlPtCl2
_space_group_name_H-M_alt 'P 1'
_space_group_IT_number 1
_cell_length_a 5.702
_cell_length_b 5.702
_cell_length_c 8.463
_cell_angle_alpha 70.31
_cell_angle_beta 70.31
_cell_angle_gamma 90.00
loop_
_space_group_symop_operation_xyz
'x,y,z'
loop_
_atom_site_label
_atom_site_fract_x
_atom_site_fract_y
_atom_site_fract_z
Tl1 0.000 0.000 0.000
Tl2 0.750 0.250 0.500
Pt1 0.500 0.500 0.000
Pt2 0.250 0.750 0.500
Cl1 0.508 0.125 0.250
Cl2 0.242 0.625 0.250
Cl3 0.375 0.492 0.750
Cl4 0.875 0.758 0.750
```

#x
First-principles (PBE) data for an optimized crystal structure of TlPtCl2, as listed in the Alexandria database.

```
data_TlPtCl2
_space_group_name_H-M_alt 'P 1'
_space_group_IT_number 1
_cell_length_a 3.906
_cell_length_b 3.906
_cell_length_c 9.003
_cell_angle_alpha 90.00
_cell_angle_beta 90.00
_cell_angle_gamma 126.93
loop_
_space_group_symop_operation_xyz
'x,y,z'
loop_
_atom_site_label
_atom_site_fract_x
_atom_site_fract_y
_atom_site_fract_z
Tl1 0.500 0.500 0.750
Pt1 0.500 0.500 0.250
Cl1 0.000 0.000 0.073
Cl2 0.000 0.000 0.427
```

#y
First-principles (PBE) data for an optimized crystal structure of TlPtCl2, as listed in the Alexandria database.

```
data_TlPtCl2
_space_group_name_H-M_alt 'P 1'
_space_group_IT_number 1
_cell_length_a 3.418
_cell_length_b 3.418
_cell_length_c 8.140
_cell_angle_alpha 90.00
_cell_angle_beta 90.00
_cell_angle_gamma 90.00
loop_
_space_group_symop_operation_xyz
'x,y,z'
loop_
_atom_site_label
_atom_site_fract_x
_atom_site_fract_y
_atom_site_fract_z
Tl1 0.500 0.500 0.717
Pt1 0.000 0.000 0.514
Cl1 0.000 0.000 0.930
Cl2 0.500 0.500 0.338
```

#z
First-principles (PBE) data for an optimized crystal structure of TlPtCl2, as listed in the Alexandria database.

```
data_TlPtCl2
_space_group_name_H-M_alt 'P 1'
_space_group_IT_number 1
_cell_length_a 3.825
_cell_length_b 5.320
_cell_length_c 5.361
_cell_angle_alpha 71.80
_cell_angle_beta 90.00
_cell_angle_gamma 90.00
loop_
_space_group_symop_operation_xyz
'x,y,z'
loop_
_atom_site_label
_atom_site_fract_x
_atom_site_fract_y
_atom_site_fract_z
Tl1 0.500 0.750 0.750
Pt1 0.500 0.250 0.250
Cl1 0.000 0.075 0.073
Cl2 0.000 0.425 0.427
```

The most stable arrangement is #z, and the next structure is 140 meV/atom less stable.

#w
First-principles (PBE) data for an optimized crystal structure of TlPtCl2, as listed in the Alexandria database.

```
data_TlPtCl2
_space_group_name_H-M_alt 'P 1'
_space_group_IT_number 1
_cell_length_a 6.727
_cell_length_b 6.727
_cell_length_c 6.727
_cell_angle_alpha 146.07
_cell_angle_beta 146.07
_cell_angle_gamma 48.74
loop_
_space_group_symop_operation_xyz
'x,y,z'
loop_
_atom_site_label
_atom_site_fract_x
_atom_site_fract_y
_atom_site_fract_z
Tl1 0.750 0.250 0.500
Pt1 0.500 0.500 0.000
Cl1 0.000 0.000 0.000
Cl2 0.250 0.750 0.500
```

#x
First-principles (PBE) data for an optimized crystal structure of TlPtCl2, as listed in the Alexandria database.

```
data_TlPtCl2
_space_group_name_H-M_alt 'P 1'
_space_group_IT_number 1
_cell_length_a 3.459
_cell_length_b 6.064
_cell_length_c 4.324
_cell_angle_alpha 90.00
_cell_angle_beta 90.00
_cell_angle_gamma 90.00
loop_
_space_group_symop_operation_xyz
'x,y,z'
loop_
_atom_site_label
_atom_site_fract_x
_atom_site_fract_y
_atom_site_fract_z
Tl1 0.000 0.500 0.500
Pt1 0.500 0.000 0.500
Cl1 0.000 0.000 0.000
Cl2 0.500 0.500 0.000
```

#y
First-principles (PBE) data for an optimized crystal structure of TlPtCl2, as listed in the Alexandria database.

```
data_TlPtCl2
_space_group_name_H-M_alt 'P 1'
_space_group_IT_number 1
_cell_length_a 5.851
_cell_length_b 5.851
_cell_length_c 5.962
_cell_angle_alpha 59.53
_cell_angle_beta 59.53
_cell_angle_gamma 36.66
loop_
_space_group_symop_operation_xyz
'x,y,z'
loop_
_atom_site_label
_atom_site_fract_x
_atom_site_fract_y
_atom_site_fract_z
Tl1 0.750 0.750 0.750
Pt1 0.250 0.250 0.250
Cl1 0.921 0.921 0.078
Cl2 0.579 0.579 0.422
```

#z
First-principles (PBE) data for an optimized crystal structure of TlPtCl2, as listed in the Alexandria database.

```
data_TlPtCl2
_space_group_name_H-M_alt 'P 1'
_space_group_IT_number 1
_cell_length_a 5.050
_cell_length_b 5.050
_cell_length_c 5.050
_cell_angle_alpha 60.00
_cell_angle_beta 60.00
_cell_angle_gamma 60.00
loop_
_space_group_symop_operation_xyz
'x,y,z'
loop_
_atom_site_label
_atom_site_fract_x
_atom_site_fract_y
_atom_site_fract_z
Tl1 0.500 0.500 0.500
Pt1 0.000 0.000 0.000
Cl1 0.250 0.250 0.250
Cl2 0.750 0.750 0.750
```

The most stable arrangement is #y, and the next structure is 416 meV/atom less stable.

#w
First-principles (PBE) data for an optimized crystal structure of TlPt2Cl, as listed in the Alexandria database.

```
data_TlPt2Cl
_space_group_name_H-M_alt 'P 1'
_space_group_IT_number 1
_cell_length_a 5.718
_cell_length_b 5.718
_cell_length_c 3.213
_cell_angle_alpha 73.95
_cell_angle_beta 73.95
_cell_angle_gamma 119.46
loop_
_space_group_symop_operation_xyz
'x,y,z'
loop_
_atom_site_label
_atom_site_fract_x
_atom_site_fract_y
_atom_site_fract_z
Cl1 0.000 0.500 0.500
Pt1 0.000 0.000 0.000
Pt2 0.500 0.500 0.000
Tl1 0.500 0.000 0.500
```

#x
First-principles (PBE) data for an optimized crystal structure of TlPt2Cl, as listed in the Alexandria database.

```
data_TlPt2Cl
_space_group_name_H-M_alt 'P 1'
_space_group_IT_number 1
_cell_length_a 5.064
_cell_length_b 5.064
_cell_length_c 5.064
_cell_angle_alpha 130.13
_cell_angle_beta 130.13
_cell_angle_gamma 73.20
loop_
_space_group_symop_operation_xyz
'x,y,z'
loop_
_atom_site_label
_atom_site_fract_x
_atom_site_fract_y
_atom_site_fract_z
Cl1 0.750 0.250 0.500
Pt1 0.000 0.000 0.000
Pt2 0.500 0.500 0.000
Tl1 0.250 0.750 0.500
```

The most stable arrangement is #w, and the next structure is 104 meV/atom less stable.

#w
First-principles (PBE) data for an optimized crystal structure of TlPt2Cl, as listed in the Alexandria database.

```
data_TlPt2Cl
_space_group_name_H-M_alt 'P 1'
_space_group_IT_number 1
_cell_length_a 8.327
_cell_length_b 8.327
_cell_length_c 8.327
_cell_angle_alpha 22.83
_cell_angle_beta 22.83
_cell_angle_gamma 22.83
loop_
_space_group_symop_operation_xyz
'x,y,z'
loop_
_atom_site_label
_atom_site_fract_x
_atom_site_fract_y
_atom_site_fract_z
Cl1 0.750 0.750 0.750
Pt1 0.000 0.000 0.000
Pt2 0.500 0.500 0.500
Tl1 0.250 0.250 0.250
```

#x
First-principles (PBE) data for an optimized crystal structure of TlPt2Cl, as listed in the Alexandria database.

```
data_TlPt2Cl
_space_group_name_H-M_alt 'P 1'
_space_group_IT_number 1
_cell_length_a 5.161
_cell_length_b 5.161
_cell_length_c 3.006
_cell_angle_alpha 90.00
_cell_angle_beta 90.00
_cell_angle_gamma 110.27
loop_
_space_group_symop_operation_xyz
'x,y,z'
loop_
_atom_site_label
_atom_site_fract_x
_atom_site_fract_y
_atom_site_fract_z
Cl1 0.000 0.500 0.500
Pt1 0.000 0.000 0.000
Pt2 0.500 0.500 0.000
Tl1 0.500 0.000 0.500
```

The most stable arrangement is #w, and the next structure is 173 meV/atom less stable.